1.
Material: PuNpTcRh
Method: DFT, PBE
State: relaxed

POSCAR file:
```
PuNpTcRh
1.0
0.000 3.224 3.224
3.224 0.000 3.224
3.224 3.224 0.000
Pu Np Tc Rh
1 1 1 1
direct
0.000 0.000 0.000
0.250 0.250 0.250
0.500 0.500 0.500
0.750 0.750 0.750
```

energy relative to the elements: -0.07 eV/atom
VASP energy: -45.26 eV per formula unit



2.
Material: SrPtAu2C
Method: DFT, PBE
State: relaxed

POSCAR file:
```
SrPtAu2C
1.0
4.707 0.000 0.000
0.000 4.707 0.000
0.000 0.000 4.223
Sr Pt Au C
1 1 2 1
direct
0.000 0.000 0.000
0.500 0.500 0.000
0.000 0.500 0.500
0.500 0.000 0.500
0.500 0.500 0.500
```

energy relative to the elements: 0.12 eV/atom
VASP energy: -22.92 eV per formula unit



3.
Material: Tm3Zn4Pd2
Method: DFT, PBE
State: relaxed

POSCAR file:
```
Tm3Zn4Pd2
1.0
5.232 -2.210 0.000
5.232 2.210 0.000
-3.800 0.000 7.528
Tm Zn Pd
3 4 2
direct
0.000 0.000 0.000
0.317 0.317 0.357
0.683 0.683 0.643
0.025 0.025 0.367
0.283 0.283 0.952
0.717 0.717 0.048
0.975 0.975 0.633
0.407 0.407 0.740
0.593 0.593 0.260
```

energy relative to the elements: -0.60 eV/atom
VASP energy: -34.28 eV per formula unit



4.
Material: TbPrY2S6
Method: DFT, PBE
State: relaxed

POSCAR file:
```
TbPrY2S6
1.0
3.508 2.026 6.208
-3.508 2.026 6.208
0.000 -4.051 6.208
Tb Pr Y S
1 1 2 6
direct
0.000 0.000 0.000
0.506 0.506 0.506
0.301 0.301 0.301
0.797 0.797 0.797
0.092 0.402 0.698
0.181 0.919 0.594
0.402 0.698 0.092
0.594 0.181 0.919
0.698 0.092 0.402
0.919 0.594 0.181
```

energy relative to the elements, uncorrected: -2.046 eV/atom
VASP energy: -67.56 eV per formula unit